Entry from OQMD via LeMat-Bulk: a geometry-optimized Hf4InGeN2 structure (PBE).

## Properties
E: -9.056 eV per atom
SG: P-6m2

abc: 3.2349 3.2349 14.1574
angles: 90.00 90.00 120.00
Atoms (fractional coordinates):
Hf (0.0000, 0.0000, 0.1500)
Hf (0.0000, 0.0000, 0.8500)
Hf (0.3333, 0.6667, 0.3266)
Hf (0.3333, 0.6667, 0.6734)
In (0.0000, 0.0000, 0.5000)
Ge (0.3333, 0.6667, 0.0000)
N (0.6667, 0.3333, 0.2392)
N (0.6667, 0.3333, 0.7608)